[1]
VASP calculation (PBE+U) on an optimized crystal structure of KCaPrWO6.

Results
Space group = F-43m
Magnetization = 0.00 μB/f.u.
Theoretical density = 5.3 Mg/m³
E_tot = -69.53 eV/cell

Cell: 6.0566 6.0566 6.0566 Å, 60.00 60.00 60.00°
Element x y z (fractional)
K1 0.7500 0.7500 0.7500
W1 0.5000 0.5000 0.5000
O1 0.2724 0.7276 0.2724
O2 0.2724 0.2724 0.7276
O3 0.2724 0.7276 0.7276
O4 0.7276 0.2724 0.7276
O5 0.7276 0.2724 0.2724
O6 0.7276 0.7276 0.2724
Pr1 0.0000 0.0000 0.0000
Ca1 0.2500 0.2500 0.2500

---

[2]
VASP calculation (PBE+U) on an optimized crystal structure of KCaPrWO6.

Results
Space group = F-43m
Magnetization = 0.00 μB/f.u.
Theoretical density = 5.7 Mg/m³
E_tot = -69.45 eV/cell

Cell: 5.8904 5.8904 5.8904 Å, 60.00 60.00 60.00°
Element x y z (fractional)
O1 0.7328 0.7328 0.2672
O2 0.7328 0.2672 0.2672
O3 0.2672 0.7328 0.7328
O4 0.7328 0.2672 0.7328
O5 0.2672 0.7328 0.2672
O6 0.2672 0.2672 0.7328
W1 0.5000 0.5000 0.5000
Pr1 0.7500 0.7500 0.7500
Ca1 0.0000 0.0000 0.0000
K1 0.2500 0.2500 0.2500

---

Number 1: density of states at the Fermi level 0.000 states/eV/atom. Number 2: density of states at the Fermi level 0.000 states/eV/atom.